Entry 1:
Computed, not measured: a relaxed structure of FePb2Au at the PBE level of DFT.

Cell lengths 4.6288, 4.6288, 8.4294 Å; angles 90.00, 90.00, 90.00 degrees
Space group I4/mmm (No. 139)
Asymmetric unit:
Fe  0.0000  0.0000  0.0000 x2
Pb  0.0000  0.5000  0.2500 x4
Au  0.0000  0.0000  0.5000 x2

- total magnetic moment (μB/cell) = 5.73
- DFT formation energy (eV/f.u.) = 1.7

Entry 2:
Computed, not measured: a relaxed structure of FePb2Au at the PBE level of DFT.

Cell lengths 3.2151, 4.5646, 12.6096 Å; angles 90.00, 90.00, 90.00 degrees
Space group Imm2 (No. 44)
Asymmetric unit:
Fe  0.0000  0.0000  0.0000 x2
Pb  0.0000  0.0000  0.4983 x2
Pb  0.0000  0.5000  0.7097 x2
Au  0.0000  0.5000  0.3264 x2

- total magnetic moment (μB/cell) = 5.00
- DFT formation energy (eV/f.u.) = 1.2

Entry 3:
Computed, not measured: a relaxed structure of Fe4PbAu at the PBE level of DFT.

Cell lengths 7.1238, 7.1238, 7.1238 Å; angles 90.00, 90.00, 90.00 degrees
Space group F-43m (No. 216)
Asymmetric unit:
Fe  0.1248  0.1248  0.1248 x16
Pb  0.0000  0.0000  0.5000 x4
Au  0.2500  0.2500  0.7500 x4

- total magnetic moment (μB/cell) = 40.05
- DFT formation energy (eV/f.u.) = 1.8

Entry 4:
Computed, not measured: a relaxed structure of FePb2Au at the PBE level of DFT.

Cell lengths 7.1451, 7.1536, 3.4998 Å; angles 90.00, 90.00, 90.00 degrees
Space group Cmmm (No. 65)
Asymmetric unit:
Fe  0.0000  0.0000  0.0000 x2
Pb  0.2500  0.2500  0.5000 x4
Au  0.0000  0.5000  0.0000 x2

- total magnetic moment (μB/cell) = 5.59
- DFT formation energy (eV/f.u.) = 1.5

Entry 5:
Computed, not measured: a relaxed structure of FePb2Au at the PBE level of DFT.

Cell lengths 3.7001, 3.7001, 6.5076 Å; angles 90.00, 90.00, 90.00 degrees
Space group P4/mmm (No. 123)
Asymmetric unit:
Fe  0.0000  0.0000  0.0000 x1
Pb  0.5000  0.5000  0.2404 x2
Au  0.0000  0.0000  0.5000 x1

- total magnetic moment (μB/cell) = 2.56
- DFT formation energy (eV/f.u.) = 1.6

Entry 6:
Computed, not measured: a relaxed structure of FePb2Au at the PBE level of DFT.

Cell lengths 3.2904, 3.2904, 8.6100 Å; angles 90.00, 90.00, 90.00 degrees
Space group P4mm (No. 99)
Asymmetric unit:
Fe  0.0000  0.0000  0.0000 x1
Pb  0.0000  0.0000  0.5952 x1
Pb  0.5000  0.5000  0.2293 x1
Au  0.5000  0.5000  0.8419 x1

- total magnetic moment (μB/cell) = 2.98
- DFT formation energy (eV/f.u.) = 0.9